Here is a crystal of RbZn2I2 relaxed with PBEsol from Alexandria via LeMat-Bulk. Energies are from SCAN.

- final energy (eV per atom) = -24.638
- formation energy without anion corrections (eV/atom) = -0.387
- SG = I4/mmm
- DOS(E_F) (states/eV per cell) = 1.78

Unit cell a=10.225 b=10.225 c=10.225 alpha=157.74 beta=157.74 gamma=31.69
Element x y z (fractional)
Rb 0.000 0.000 0.000
Zn 0.250 0.750 0.500
Zn 0.750 0.250 0.500
I 0.384 0.384 0.000
I 0.616 0.616 0.000